No. 1
The following is a GGA-PBE calculation of LiLaGdFe after structural relaxation, from Alexandria via LeMat-Bulk.

Cell: 5.044 5.044 5.044 Å, 60.00 60.00 60.00°
Sites, in units of the cell vectors:
Li 0.500 0.500 0.500
Gd 0.250 0.250 0.250
Fe 0.000 0.000 0.000
La 0.750 0.750 0.750

Results
The value obtained for the total energy is -7.215 eV/atom. The crystal system is cubic. As for the theoretical density: 6.567 g/cm³. The total moment comes out at 1.56 μB per atom. Its formation energy is 0.131 eV/atom. Its space-group type is F-43m.


No. 2
The following is a GGA-PBE calculation of Ta2AgMo after structural relaxation, from Alexandria via LeMat-Bulk.

Cell: 5.436 5.436 2.749 Å, 80.37 80.37 115.81°
Sites, in units of the cell vectors:
Ta 0.000 0.000 0.000
Ta 0.500 0.500 0.000
Ag 0.500 0.000 0.500
Mo 0.000 0.500 0.500

Results
The value obtained for the total energy is -9.090 eV/atom. For the offset from the most stable computed form, the calculation gives 0.1636 eV per atom. The crystal system is monoclinic. As for the theoretical density: 13.530 g/cm³. The total moment comes out at 0.00 μB per atom. Its formation energy is 0.257 eV/atom. Its space-group type is C2/m.


No. 3
The following is a GGA-PBE calculation of Mg2SiPbSe after structural relaxation, from Alexandria via LeMat-Bulk.

Cell: 5.296 5.847 5.296 Å, 90.00 90.00 90.00°
Sites, in units of the cell vectors:
Pb 0.000 0.000 0.000
Si 0.500 0.500 0.500
Se 0.000 0.500 0.000
Mg 0.500 0.000 0.000
Mg 0.000 0.000 0.500

Results
The value obtained for the total energy is -2.354 eV/atom. The crystal system is tetragonal. As for the theoretical density: 3.675 g/cm³. The total moment comes out at 0.22 μB per atom. For the formation energy (no corrections), the calculation gives 0.81 eV/atom. Its space-group type is P4/mmm.


No. 4
The following is a GGA-PBE calculation of SrSmP2 after structural relaxation, from Alexandria via LeMat-Bulk.

Cell: 4.195 4.195 7.480 Å, 73.72 73.72 60.00°
Sites, in units of the cell vectors:
Sr 0.500 0.500 0.500
Sm 0.000 0.000 0.000
P 0.258 0.258 0.227
P 0.742 0.742 0.773

Results
The value obtained for the total energy is -5.443 eV/atom. For the offset from the most stable computed form, the calculation gives 0.0000 eV per atom. The crystal system is trigonal. As for the theoretical density: 4.618 g/cm³. The total moment comes out at 0.00 μB per atom. Its formation energy is -1.138 eV/atom. Its space-group type is R-3m.


No. 5
The following is a GGA-PBE calculation of Hf2FeRh after structural relaxation, from Alexandria via LeMat-Bulk.

Cell: 5.788 5.788 5.788 Å, 60.09 150.82 128.72°
Sites, in units of the cell vectors:
Hf 0.000 0.750 0.750
Hf 0.000 0.250 0.250
Fe 0.000 0.000 0.000
Rh 0.000 0.500 0.500

Results
The value obtained for the total energy is -8.507 eV/atom. The crystal system is orthorhombic. As for the theoretical density: 11.704 g/cm³. The total moment comes out at 0.51 μB per atom. Its formation energy is 0.423 eV/atom. Its space-group type is Immm.


No. 6
The following is a GGA-PBE calculation of AcLa3Pb3 after structural relaxation, from Alexandria via LeMat-Bulk.

Cell: 6.334 10.004 10.004 Å, 120.00 90.00 90.00°
Sites, in units of the cell vectors:
Pb 0.250 0.352 0.384
Pb 0.250 0.032 0.648
Pb 0.750 0.384 0.032
Pb 0.750 0.968 0.352
Pb 0.750 0.648 0.616
Pb 0.250 0.616 0.968
La 0.750 0.704 0.007
La 0.250 0.007 0.302
La 0.250 0.698 0.704
La 0.750 0.302 0.296
La 0.250 0.296 0.993
La 0.750 0.993 0.698
Ac 0.250 0.667 0.333
Ac 0.750 0.333 0.667

Results
The value obtained for the total energy is -4.681 eV/atom. The crystal system is hexagonal. As for the theoretical density: 7.655 g/cm³. The total moment comes out at 0.00 μB per atom. Its formation energy is -0.393 eV/atom. Its space-group type is P6_3/m.


No. 7
The following is a GGA-PBE calculation of LiSbTeI2 after structural relaxation, from Alexandria via LeMat-Bulk.

Cell: 5.265 5.265 5.439 Å, 90.00 90.00 90.00°
Sites, in units of the cell vectors:
I 0.500 0.000 0.000
I 0.000 0.500 0.000
Sb 0.500 0.500 0.500
Li 0.000 0.000 0.000
Te 0.000 0.000 0.500

Results
The value obtained for the total energy is -2.380 eV/atom. For the offset from the most stable computed form, the calculation gives 0.2255 eV per atom. The crystal system is tetragonal. As for the theoretical density: 5.618 g/cm³. The total moment comes out at 0.00 μB per atom. For the formation energy (no corrections), the calculation gives 0.08 eV/atom. Its space-group type is P4/mmm.


No. 8
The following is a GGA-PBE calculation of Na2Ag3Pd2 after structural relaxation, from Alexandria via LeMat-Bulk.

Cell: 4.451 5.497 7.466 Å, 103.54 72.66 66.12°
Sites, in units of the cell vectors:
Ag 0.430 0.962 0.179
Ag 0.570 0.038 0.821
Ag 0.000 0.500 0.500
Na 0.731 0.380 0.158
Na 0.269 0.620 0.842
Pd 0.750 0.070 0.430
Pd 0.250 0.930 0.570

Results
The value obtained for the total energy is -3.084 eV/atom. The crystal system is monoclinic. As for the theoretical density: 6.639 g/cm³. The total moment comes out at 0.00 μB per atom. Its formation energy is -0.002 eV/atom. Its space-group type is C2/m.


No. 9
The following is a GGA-PBE calculation of Ca2PuTaN4 after structural relaxation, from Alexandria via LeMat-Bulk.

Cell: 3.334 5.809 5.910 Å, 108.74 90.00 90.00°
Sites, in units of the cell vectors:
N 0.500 0.777 0.788
N 0.500 0.223 0.212
N 0.000 0.760 0.212
N 0.000 0.240 0.788
Ta 0.000 0.000 0.000
Ca 0.000 0.500 0.500
Ca 0.500 0.000 0.500
Pu 0.500 0.500 0.000

Results
The value obtained for the total energy is -9.159 eV/atom. The crystal system is monoclinic. As for the theoretical density: 8.596 g/cm³. The total moment comes out at 0.57 μB per atom. For the formation energy (no corrections), the calculation gives -1.22 eV/atom. Its space-group type is P2/m.


No. 10
The following is a GGA-PBE calculation of LiSmHo2Pd4 after structural relaxation, from Alexandria via LeMat-Bulk.

Cell: 4.877 4.877 8.389 Å, 73.10 73.10 60.00°
Sites, in units of the cell vectors:
Li 0.500 0.500 0.500
Pd 0.621 0.621 0.138
Pd 0.379 0.379 0.862
Pd 0.122 0.122 0.633
Pd 0.878 0.878 0.367
Ho 0.241 0.241 0.276
Ho 0.759 0.759 0.724
Sm 0.000 0.000 0.000

Results
The value obtained for the total energy is -5.338 eV/atom. The crystal system is trigonal. As for the theoretical density: 9.314 g/cm³. The total moment comes out at 0.00 μB per atom. Its formation energy is -0.768 eV/atom. Its space-group type is R-3m.